DFT (PBE) results for an optimized crystal structure of Nb3CuF.

## Properties
ΔE to the lowest computed polymorph   0.000 eV/atom
N(E_F)   4.24 states/eV/cell
Total moment   0.0000 μB/atom
Formation energy from raw total energies   0.121 eV/atom

Unit cell a=4.2776 b=4.2776 c=4.2776 alpha=90.00 beta=90.00 gamma=90.00
Last column: nearest neighbours and their distance in Å.
Fractional positions:
Nb: 0.0000 0.5000 0.0000  2 F 2.14
Nb: 0.0000 0.0000 0.5000  2 F 2.14
F: 0.0000 0.0000 0.0000  6 Nb 2.14
Nb: 0.5000 0.0000 0.0000  2 F 2.14
Cu: 0.5000 0.5000 0.5000  12 Nb 3.02

---

DFT (PBE) results for an optimized crystal structure of Cs2RbIBr.

## Properties
N(E_F)   1.68 states/eV/cell
Total moment   0.0000 μB/atom
Formation energy from raw total energies   -1.113 eV/atom

Unit cell a=7.1296 b=7.1296 c=6.6448 alpha=90.00 beta=90.00 gamma=90.00
Last column: nearest neighbours and their distance in Å.
Fractional positions:
Cs: 0.0000 0.5000 0.0000  2 Br 3.56
Rb: 0.0000 0.0000 0.5000  2 Br 3.32
I: 0.5000 0.5000 0.5000  8 Cs 4.87, 4 Rb 5.04
Cs: 0.5000 0.0000 0.0000  2 Br 3.56
Br: 0.0000 0.0000 0.0000  2 Rb 3.32, 4 Cs 3.56

---

DFT (PBE) results for an optimized crystal structure of Zr2Tl.

## Properties
Formation energy   0.39 eV per atom
N(E_F)   8.50 states/eV/cell
Total moment   0.0001 μB/atom

Unit cell a=10.5460 b=10.5460 c=10.5460 alpha=159.03 beta=159.03 gamma=29.83
Last column: nearest neighbours and their distance in Å.
Fractional positions:
Zr: 0.5685 0.5685 0.0000  3 Zr 2.79-3.00, 4 Tl 3.05
Tl: 0.0000 0.0000 0.0000  8 Zr 3.05
Zr: 0.4315 0.4315 0.0000  3 Zr 2.79-3.00, 4 Tl 3.05
Zr: 0.1815 0.6815 0.5000  3 Zr 2.79-3.00, 4 Tl 3.05
Tl: 0.7500 0.2500 0.5000  8 Zr 3.05
Zr: 0.3185 0.8185 0.5000  3 Zr 2.79-3.00, 4 Tl 3.05

---

DFT (PBE) results for an optimized crystal structure of SmGdPuIn.

## Properties
Formation energy   -0.01 eV per atom
N(E_F)   11.23 states/eV/cell
Total moment   3.5260 μB/atom

Unit cell a=5.4693 b=5.4693 c=5.4693 alpha=60.00 beta=60.00 gamma=60.00
Last column: nearest neighbours and their distance in Å.
Fractional positions:
Gd: 0.0000 0.0000 0.0000  4 Sm 3.35, 4 In 3.35
In: 0.2500 0.2500 0.2500  4 Gd 3.35, 4 Pu 3.35
Pu: 0.5000 0.5000 0.5000  4 In 3.35, 4 Sm 3.35
Sm: 0.7500 0.7500 0.7500  4 Gd 3.35, 4 Pu 3.35

---

DFT (PBE) results for an optimized crystal structure of BaMnSe2.

## Properties
N(E_F)   0.09 states/eV/cell
Total moment   1.2512 μB/atom
Formation energy from raw total energies   -0.909 eV/atom

Unit cell a=7.7443 b=7.7443 c=7.7443 alpha=151.48 beta=149.79 gamma=42.03
Last column: nearest neighbours and their distance in Å.
Fractional positions:
Ba: 0.4546 0.4546 0.0000  6 Se 3.23-3.29
Mn: 0.2021 0.7021 0.5000  6 Se 2.72-2.97
Se: 0.0682 0.0682 0.0000  2 Mn 2.72
Se: 0.7751 0.2751 0.5000  4 Mn 2.97, 2 Ba 3.29

---

DFT (PBE) results for an optimized crystal structure of SrDyMgAg.

## Properties
Formation energy   -0.07 eV per atom
N(E_F)   2.57 states/eV/cell
Total moment   0.0000 μB/atom

Unit cell a=5.4553 b=5.4553 c=5.4553 alpha=60.00 beta=60.00 gamma=60.00
Last column: nearest neighbours and their distance in Å.
Fractional positions:
Mg: 0.7500 0.7500 0.7500  4 Dy 3.34, 4 Sr 3.34
Dy: 0.0000 0.0000 0.0000  4 Mg 3.34, 4 Ag 3.34
Sr: 0.5000 0.5000 0.5000  4 Ag 3.34, 4 Mg 3.34
Ag: 0.2500 0.2500 0.2500  4 Dy 3.34, 4 Sr 3.34

---

DFT (PBE) results for an optimized crystal structure of BaTcN2O.

## Properties
N(E_F)   5.97 states/eV/cell
Total moment   0.0097 μB/atom
Formation energy from raw total energies   2.396 eV/atom

Unit cell a=4.5851 b=4.5851 c=4.3544 alpha=90.00 beta=90.00 gamma=90.00
Last column: nearest neighbours and their distance in Å.
Fractional positions:
N: 0.0000 0.5000 0.0000  2 Ba 2.29
Tc: 0.5000 0.5000 0.5000  8 N 3.16, 4 O 3.24
Ba: 0.0000 0.0000 0.0000  2 O 2.18, 4 N 2.29
N: 0.5000 0.0000 0.0000  2 Ba 2.29
O: 0.0000 0.0000 0.5000  2 Ba 2.18

---

DFT (PBE) results for an optimized crystal structure of Zn6Cl.

## Properties
N(E_F)   3.44 states/eV/cell
Total moment   0.0000 μB/atom
Formation energy from raw total energies   0.308 eV/atom

Unit cell a=6.1775 b=6.1775 c=6.1775 alpha=109.47 beta=109.47 gamma=109.47
Last column: nearest neighbours and their distance in Å.
Fractional positions:
Zn: 0.2500 0.5000 0.7500  4 Zn 2.52
Zn: 0.2500 0.7500 0.5000  4 Zn 2.52
Zn: 0.5000 0.2500 0.7500  4 Zn 2.52
Zn: 0.7500 0.2500 0.5000  4 Zn 2.52
Zn: 0.5000 0.7500 0.2500  4 Zn 2.52
Cl: 0.0000 0.0000 0.0000  24 Zn 3.99
Zn: 0.7500 0.5000 0.2500  4 Zn 2.52

---

DFT (PBE) results for an optimized crystal structure of BaNaI.

## Properties
ΔE to the lowest computed polymorph   0.180 eV/atom
N(E_F)   2.12 states/eV/cell
Total moment   0.0454 μB/atom
Formation energy from raw total energies   -0.643 eV/atom

Unit cell a=4.9978 b=5.9580 c=5.9580 alpha=120.00 beta=90.00 gamma=90.00
Last column: nearest neighbours and their distance in Å.
Fractional positions:
I: 0.1665 0.3333 0.6667  3 Ba 3.44
Ba: 0.1659 0.0000 0.0000  3 I 3.44
Na: 0.6676 0.6667 0.3333  6 Ba 4.25-4.26, 6 I 4.25

---

DFT (PBE) results for an optimized crystal structure of CeInSe3.

## Properties
ΔE to the lowest computed polymorph   0.000 eV/atom
N(E_F)   13.32 states/eV/cell
Total moment   0.1877 μB/atom
Formation energy from raw total energies   -1.124 eV/atom

Unit cell a=4.1515 b=7.9412 c=8.2042 alpha=96.23 beta=90.00 gamma=90.00
Last column: nearest neighbours and their distance in Å.
Fractional positions:
Se: 0.2500 0.3829 0.6031  2 In 2.87, 3 Ce 3.04-3.11
Se: 0.2500 0.6952 0.0291  1 In 2.70, 2 Ce 2.95
Ce: 0.2500 0.3826 0.2237  8 Se 2.95-3.23
Se: 0.7500 0.3048 0.9709  1 In 2.70, 2 Ce 2.95
Se: 0.2500 0.9002 0.6746  3 In 2.75-2.87
Se: 0.7500 0.6171 0.3969  2 In 2.87, 3 Ce 3.04-3.11
Se: 0.7500 0.0998 0.3254  3 In 2.75-2.87
Ce: 0.7500 0.6174 0.7763  8 Se 2.95-3.23
In: 0.2500 0.8528 0.3378  6 Se 2.70-2.87
In: 0.7500 0.1472 0.6622  6 Se 2.70-2.87

---

DFT (PBE) results for an optimized crystal structure of B2MoI.

## Properties
ΔE to the lowest computed polymorph   0.607 eV/atom
N(E_F)   3.82 states/eV/cell
Total moment   0.0000 μB/atom
Formation energy from raw total energies   1.909 eV/atom

Unit cell a=4.2309 b=4.2309 c=4.2309 alpha=60.00 beta=60.00 gamma=60.00
Last column: nearest neighbours and their distance in Å.
Fractional positions:
Mo: 0.0000 0.0000 0.0000  8 B 2.59
I: 0.5000 0.5000 0.5000  8 B 2.59
B: 0.2500 0.2500 0.2500  4 Mo 2.59, 4 I 2.59
B: 0.7500 0.7500 0.7500  4 Mo 2.59, 4 I 2.59

---

DFT (PBE) results for an optimized crystal structure of SmZr2Se4.

## Properties
N(E_F)   9.15 states/eV/cell
Total moment   0.0000 μB/atom
Formation energy from raw total energies   -1.409 eV/atom

Unit cell a=3.8220 b=6.5828 c=13.8502 alpha=90.00 beta=90.00 gamma=106.88
Last column: nearest neighbours and their distance in Å.
Fractional positions:
Zr: 0.8513 0.7026 0.5588  6 Se 2.69-2.85
Se: 0.2158 0.4317 0.6254  3 Zr 2.69-2.72, 2 Sm 2.93
Se: 0.2158 0.4317 0.8746  3 Zr 2.69-2.72, 2 Sm 2.93
Se: 0.5000 0.0000 0.0000  4 Zr 2.80
Se: 0.0650 0.1299 0.2500  2 Zr 2.85, 2 Sm 2.87
Zr: 0.1487 0.2974 0.4412  6 Se 2.69-2.85
Sm: 0.3945 0.7890 0.2500  6 Se 2.87-2.93
Se: 0.5000 0.0000 0.5000  4 Zr 2.80
Se: 0.7842 0.5683 0.3746  3 Zr 2.69-2.72, 2 Sm 2.93
Zr: 0.1487 0.2974 0.0588  6 Se 2.69-2.85
Sm: 0.6055 0.2110 0.7500  6 Se 2.87-2.93
Se: 0.7842 0.5683 0.1254  3 Zr 2.69-2.72, 2 Sm 2.93
Se: 0.9350 0.8701 0.7500  2 Zr 2.85, 2 Sm 2.87
Zr: 0.8513 0.7026 0.9412  6 Se 2.69-2.85

---

DFT (PBE) results for an optimized crystal structure of Hf2ScCr.

## Properties
Formation energy   0.28 eV per atom
ΔE to the lowest computed polymorph   0.136 eV/atom
N(E_F)   6.27 states/eV/cell
Total moment   0.0001 μB/atom

Unit cell a=4.7668 b=4.7668 c=4.7668 alpha=60.00 beta=60.00 gamma=60.00
Last column: nearest neighbours and their distance in Å.
Fractional positions:
Hf: 0.7500 0.7500 0.7500  4 Cr 2.92, 4 Sc 2.92
Cr: 0.5000 0.5000 0.5000  8 Hf 2.92
Sc: 0.0000 0.0000 0.0000  8 Hf 2.92
Hf: 0.2500 0.2500 0.2500  4 Cr 2.92, 4 Sc 2.92

---

DFT (PBE) results for an optimized crystal structure of Na2FeOsPd.

## Properties
Formation energy   1.52 eV per atom
N(E_F)   5.24 states/eV/cell
Total moment   0.8805 μB/atom

Unit cell a=4.9120 b=4.8841 c=4.9120 alpha=90.00 beta=90.00 gamma=90.00
Last column: nearest neighbours and their distance in Å.
Fractional positions:
Os: 0.0000 0.5000 0.0000  2 Pd 2.44
Na: 0.0000 0.0000 0.5000  2 Pd 2.46
Na: 0.5000 0.0000 0.0000  2 Pd 2.46
Pd: 0.0000 0.0000 0.0000  2 Os 2.44, 4 Na 2.46
Fe: 0.5000 0.5000 0.5000  8 Na 3.46, 4 Os 3.47

---

DFT (PBE) results for an optimized crystal structure of RbPmPbCl6.

## Properties
N(E_F)   0.00 states/eV/cell
Total moment   0.0000 μB/atom
Formation energy from raw total energies   -1.869 eV/atom

Unit cell a=7.4556 b=7.4556 c=14.0295 alpha=90.00 beta=90.00 gamma=120.00
Last column: nearest neighbours and their distance in Å.
Fractional positions:
Pm: 0.6667 0.3333 0.2500  6 Cl 2.74
Cl: 0.3795 0.3612 0.3611  1 Pm 2.74, 1 Pb 2.92
Cl: 0.3612 0.9818 0.6389  1 Pm 2.74, 1 Pb 2.92
Cl: 0.0182 0.6388 0.8611  1 Pm 2.74, 1 Pb 2.92
Cl: 0.3612 0.3795 0.8611  1 Pm 2.74, 1 Pb 2.92
Cl: 0.6205 0.6388 0.6389  1 Pm 2.74, 1 Pb 2.92
Pm: 0.3333 0.6667 0.7500  6 Cl 2.74
Pb: 0.6667 0.3333 0.7500  6 Cl 2.92
Cl: 0.6388 0.0182 0.3611  1 Pm 2.74, 1 Pb 2.92
Cl: 0.6205 0.9818 0.8611  1 Pm 2.74, 1 Pb 2.92
Pb: 0.3333 0.6667 0.2500  6 Cl 2.92
Cl: 0.0182 0.3795 0.6389  1 Pm 2.74, 1 Pb 2.92
Cl: 0.9818 0.3612 0.1389  1 Pm 2.74, 1 Pb 2.92
Rb: 0.0000 0.0000 0.5000  6 Cl 3.38
Cl: 0.3795 0.0182 0.1389  1 Pm 2.74, 1 Pb 2.92
Cl: 0.9818 0.6205 0.3611  1 Pm 2.74, 1 Pb 2.92
Cl: 0.6388 0.6205 0.1389  1 Pm 2.74, 1 Pb 2.92
Rb: 0.0000 0.0000 0.0000  6 Cl 3.38

---

DFT (PBE) results for an optimized crystal structure of Pm2ThCu.

## Properties
Formation energy   0.10 eV per atom
ΔE to the lowest computed polymorph   0.153 eV/atom
N(E_F)   5.80 states/eV/cell
Total moment   0.0001 μB/atom

Unit cell a=3.6338 b=3.6338 c=10.3828 alpha=79.92 beta=79.92 gamma=60.00
Last column: nearest neighbours and their distance in Å.
Fractional positions:
Pm: 0.0684 0.0684 0.7947  3 Cu 2.96
Cu: 0.6665 0.6665 0.0005  6 Pm 2.96
Pm: 0.2648 0.2648 0.2057  3 Cu 2.96
Th: 0.5003 0.5003 0.4992  6 Th 3.63, 6 Pm 3.65-3.66

---

DFT (PBE) results for an optimized crystal structure of BiAsH3.

## Properties
ΔE to the lowest computed polymorph   0.000 eV/atom
N(E_F)   1.73 states/eV/cell
Total moment   0.0000 μB/atom

Unit cell a=3.9062 b=3.9062 c=3.9062 alpha=90.00 beta=90.00 gamma=90.00
Last column: nearest neighbours and their distance in Å.
Fractional positions:
Bi: 0.5000 0.5000 0.5000  12 H 2.76
H: 0.0000 0.5000 0.0000  2 As 1.95
As: 0.0000 0.0000 0.0000  6 H 1.95
H: 0.5000 0.0000 0.0000  2 As 1.95
H: 0.0000 0.0000 0.5000  2 As 1.95

---

DFT (PBE) results for an optimized crystal structure of CdTeI6.

## Properties
Total moment   0.0000 μB/atom
Formation energy from raw total energies   -0.213 eV/atom

Unit cell a=7.4820 b=7.7395 c=7.7395 alpha=122.09 beta=100.01 gamma=100.01
Last column: nearest neighbours and their distance in Å.
Fractional positions:
Te: 0.0000 0.0000 0.0000  6 I 2.94-3.00
I: 0.2548 0.0975 0.4074  1 Cd 2.96, 1 Te 3.00
Cd: 0.5000 0.5000 0.5000  6 I 2.96-3.23
I: 0.2548 0.4074 0.0975  1 Cd 2.96, 1 Te 3.00
I: 0.2372 0.7609 0.7609  1 Te 2.94, 1 Cd 3.23
I: 0.7452 0.5926 0.9025  1 Cd 2.96, 1 Te 3.00
I: 0.7452 0.9025 0.5926  1 Cd 2.96, 1 Te 3.00
I: 0.7628 0.2391 0.2391  1 Te 2.94, 1 Cd 3.23

---

DFT (PBE) results for an optimized crystal structure of SmPaOs4.

## Properties
Formation energy   -0.22 eV per atom
N(E_F)   5.26 states/eV/cell
Total moment   0.0000 μB/atom

Unit cell a=5.3870 b=5.3870 c=5.3870 alpha=60.00 beta=60.00 gamma=60.00
Last column: nearest neighbours and their distance in Å.
Fractional positions:
Sm: 0.2500 0.2500 0.2500  12 Os 3.16, 4 Pa 3.30
Os: 0.6249 0.1254 0.6249  6 Os 2.69-2.70
Pa: 0.0000 0.0000 0.0000  12 Os 3.16, 4 Sm 3.30
Os: 0.6249 0.6249 0.6249  6 Os 2.69-2.70
Os: 0.1254 0.6249 0.6249  6 Os 2.69-2.70
Os: 0.6249 0.6249 0.1254  6 Os 2.69-2.70

---

DFT (PBE) results for an optimized crystal structure of Mg7Si4.

## Properties
ΔE to the lowest computed polymorph   0.060 eV/atom
N(E_F)   7.24 states/eV/cell
Total moment   0.0000 μB/atom
Formation energy from raw total energies   0.076 eV/atom

Unit cell a=5.1728 b=6.2524 c=14.2515 alpha=84.94 beta=80.72 gamma=79.33
Last column: nearest neighbours and their distance in Å.
Fractional positions:
Si: 0.7383 0.9751 0.1397  2 Si 2.46, 1 Mg 2.69
Si: 0.7917 0.4755 0.7235  2 Si 2.49-2.57
Si: 0.3825 0.0072 0.2779  2 Si 2.46-2.66
Mg: 0.8694 0.6845 0.0043  3 Si 2.67-2.69
Mg: 0.9044 0.3086 0.2959  4 Si 2.66-2.81
Mg: 0.3046 0.4285 0.8521  3 Si 2.82-2.93, 2 Mg 3.06-3.07
Mg: 0.7906 0.2005 0.9417  3 Si 2.88-3.04, 4 Mg 3.06-3.23
Si: 0.0918 0.1247 0.7525  3 Si 2.49-2.60, 2 Mg 2.68-2.74
Mg: 0.8277 0.7890 0.5436  3 Si 2.79-3.09, 4 Mg 2.93-3.12
Si: 0.7000 0.3739 0.1272  2 Si 2.46-2.49, 2 Mg 2.67-2.75
Mg: 0.4222 0.6680 0.4255  3 Si 2.75-3.07, 3 Mg 3.06-3.08
Si: 0.3760 0.4332 0.2762  2 Si 2.49-2.66, 3 Mg 2.66-2.75
Mg: 0.3173 0.5160 0.6362  3 Si 2.72-2.89
Mg: 0.2982 0.7536 0.1251  5 Si 2.83-2.95, 4 Mg 3.05-3.15
Mg: 0.3599 0.9154 0.9057  3 Si 2.86-3.19, 4 Mg 3.14-3.20
Si: 0.2452 0.9553 0.5966  1 Si 2.50, 3 Mg 2.70-2.79
Mg: 0.9094 0.3166 0.5265  2 Si 2.80-2.99, 4 Mg 2.93-3.13
Mg: 0.6197 0.0709 0.7018  5 Si 2.68-2.89, 1 Mg 2.93
Mg: 0.4789 0.1672 0.4425  3 Si 2.70-2.84, 3 Mg 2.98-3.02
Mg: 0.2471 0.2533 0.0784  3 Si 2.78-3.01, 1 Mg 3.11
Mg: 0.9309 0.8057 0.3146  4 Si 2.81-2.99, 3 Mg 3.05-3.11
Si: 0.8941 0.7770 0.8161  2 Si 2.57-2.60, 4 Mg 2.68-2.86